A plane-wave DFT calculation with PBE was carried out for an optimized crystal structure of ErZrCd2.

## Properties
Formation energy: -139 meV/atom
Total moment: 0.66 μB per formula unit
Excess energy over the best structure of this formula in the dataset: 0.09 eV per formula unit
Density of states at the Fermi level: 4.4 states/eV/cell
Total DFT energy (no corrections): -15.499 eV per formula unit

Unit cell a=5.1116 b=5.1116 c=5.1116 alpha=60.00 beta=60.00 gamma=60.00
Atoms (fractional coordinates):
1 Er 0.0000 0.0000 0.0000
2 Zr 0.5000 0.5000 0.5000
3 Cd 0.2500 0.2500 0.2500
4 Cd 0.7500 0.7500 0.7500

A plane-wave DFT calculation with PBE was carried out for an optimized crystal structure of ErZrCd.

## Properties
Formation energy: -139 meV/atom
Total moment: 0.00 μB per formula unit
Excess energy over the best structure of this formula in the dataset: 0.00 eV per formula unit
Density of states at the Fermi level: 1.8 states/eV/cell
Total DFT energy (no corrections): -14.444 eV per formula unit

Unit cell a=6.9260 b=6.9260 c=6.9260 alpha=151.78 beta=151.78 gamma=40.34
Atoms (fractional coordinates):
1 Er 0.0000 0.0000 0.0000
2 Zr 0.3292 0.3292 0.0000
3 Cd 0.6735 0.6735 0.0000

A plane-wave DFT calculation with PBE was carried out for an optimized crystal structure of Er5ZrCd4.

## Properties
Formation energy: -231 meV/atom
Total moment: 0.00 μB per formula unit
Density of states at the Fermi level: 8.4 states/eV/cell
Total DFT energy (no corrections): -37.334 eV per formula unit

Unit cell a=3.5634 b=3.5634 c=20.3669 alpha=90.00 beta=90.00 gamma=90.00
Atoms (fractional coordinates):
1 Er 0.0000 0.0000 0.0000
2 Er 0.0000 0.0000 0.1930
3 Er 0.0000 0.0000 0.3938
4 Er 0.0000 0.0000 0.6062
5 Er 0.0000 0.0000 0.8070
6 Zr 0.5000 0.5000 0.5000
7 Cd 0.5000 0.5000 0.0962
8 Cd 0.5000 0.5000 0.2917
9 Cd 0.5000 0.5000 0.7083
10 Cd 0.5000 0.5000 0.9038

A plane-wave DFT calculation with PBE was carried out for an optimized crystal structure of ErZrCd2.

## Properties
Formation energy: -161 meV/atom
Total moment: 0.20 μB per formula unit
Excess energy over the best structure of this formula in the dataset: 0.00 eV per formula unit
Density of states at the Fermi level: 5.1 states/eV/cell
Total DFT energy (no corrections): -15.585 eV per formula unit

Unit cell a=3.6146 b=3.6146 c=7.2215 alpha=90.00 beta=90.00 gamma=90.00
Atoms (fractional coordinates):
1 Er 0.0000 0.0000 0.0000
2 Zr 0.0000 0.0000 0.5000
3 Cd 0.5000 0.5000 0.2633
4 Cd 0.5000 0.5000 0.7367

A plane-wave DFT calculation with PBE was carried out for an optimized crystal structure of ErZrCd.

## Properties
Formation energy: -94 meV/atom
Total moment: 0.00 μB per formula unit
Excess energy over the best structure of this formula in the dataset: 0.13 eV per formula unit
Density of states at the Fermi level: 6.4 states/eV/cell
Total DFT energy (no corrections): -14.309 eV per formula unit

Unit cell a=3.3237 b=3.3237 c=13.4161 alpha=90.00 beta=90.00 gamma=90.00
Atoms (fractional coordinates):
1 Er 0.2500 0.2500 0.2445
2 Er 0.7500 0.7500 0.7555
3 Zr 0.2500 0.2500 0.5811
4 Zr 0.7500 0.7500 0.4189
5 Cd 0.2500 0.2500 0.9258
6 Cd 0.7500 0.7500 0.0742

A plane-wave DFT calculation with PBE was carried out for an optimized crystal structure of EuCd3.

## Properties
Formation energy: -234 meV/atom
Total moment: 7.45 μB per formula unit
Density of states at the Fermi level: 10.8 states/eV/cell
Total DFT energy (no corrections): -13.954 eV per formula unit

Unit cell a=4.7576 b=4.7576 c=4.7576 alpha=90.00 beta=90.00 gamma=90.00
Atoms (fractional coordinates):
1 Eu 0.0000 0.0000 0.0000
2 Cd 0.0000 0.5000 0.5000
3 Cd 0.5000 0.0000 0.5000
4 Cd 0.5000 0.5000 0.0000